Below is Tb6ZrTl after structural relaxation, with properties calculated at the PBE level.

Properties
**Formation enthalpy at 0 K**: -54 meV per atom
**Spin magnetization**: 0.0000 μB/atom
**Density of states at the Fermi level**: 1.0398 states/eV per atom
**Total energy**: -4.891 eV/atom
**Calculated volume**: 233.8 Å³/cell

The structure in CIF format:
```
data_Tb6ZrTl
_symmetry_space_group_name_H-M 'P 4/m m m'
_symmetry_Int_Tables_number 123
_symmetry_space_group_name_Hall '-P 4 2'
_cell_length_a 4.8584
_cell_length_b 4.8584
_cell_length_c 9.9045
_cell_angle_alpha 90.00
_cell_angle_beta 90.00
_cell_angle_gamma 90.00
loop_
_atom_site_label
_atom_site_type_symbol
_atom_site_fract_x
_atom_site_fract_y
_atom_site_fract_z
_atom_site_occupancy
Tb1 Tb 0.0000 0.0000 0.0000 1
Tb2 Tb 0.0000 0.0000 0.5000 1
Tb3 Tb 0.0000 0.5000 0.2458 1
Zr1 Zr 0.5000 0.5000 0.0000 1
Tl1 Tl 0.5000 0.5000 0.5000 1
```